[1]
The following is a DFT calculation (GGA-PBE) of a relaxed structure of DySiPd5.

abc: 4.0397 4.0397 7.1526
angles: 90.00 90.00 90.00
Last column: nearest neighbours and their distance in Å.
Fractional positions:
Dy 0.0000 0.0000 0.0000  12 Pd 2.86-2.95
Si 0.5000 0.5000 0.5000  8 Pd 2.47
Pd 0.0000 0.5000 0.3006  2 Si 2.47
Pd 0.0000 0.5000 0.6994  2 Si 2.47
Pd 0.5000 0.0000 0.3006  2 Si 2.47
Pd 0.5000 0.0000 0.6994  2 Si 2.47
Pd 0.5000 0.5000 0.0000  4 Dy 2.86, 8 Pd 2.95

Results
**Space-group type**: No. 123
**Volume**: 16.675 Å³ per atom
**Formation energy (no corrections)**: -823 meV/atom
**Fermi-level density of states**: 0.202 states/eV per atom

[2]
The following is a DFT calculation (GGA-PBE) of a relaxed structure of Dy2Si7Pd12.

abc: 10.0205 10.0205 3.8344
angles: 90.00 90.00 120.00
Last column: nearest neighbours and their distance in Å.
Fractional positions:
Dy 0.3333 0.6667 0.2539  6 Si 3.07-3.09, 6 Pd 3.14-3.16
Dy 0.6667 0.3333 0.7461  6 Si 3.07-3.09, 6 Pd 3.14-3.16
Si 0.0000 0.0000 0.0000  6 Pd 2.44
Si 0.1175 0.7101 0.7499  7 Pd 2.45-2.56
Si 0.2899 0.4074 0.7499  7 Pd 2.45-2.56
Si 0.4074 0.1175 0.2501  7 Pd 2.45-2.56
Si 0.5926 0.8825 0.7499  7 Pd 2.45-2.56
Si 0.7101 0.5926 0.2501  7 Pd 2.45-2.56
Si 0.8825 0.2899 0.2501  7 Pd 2.45-2.56
Pd 0.0637 0.4435 0.7489  4 Si 2.45-2.56
Pd 0.1117 0.2582 0.2500  4 Si 2.44-2.54
Pd 0.1465 0.8883 0.2500  4 Si 2.44-2.54
Pd 0.2582 0.1465 0.7500  4 Si 2.44-2.54
Pd 0.3798 0.9363 0.7489  4 Si 2.45-2.56
Pd 0.4435 0.3798 0.2511  4 Si 2.45-2.56
Pd 0.5565 0.6202 0.7489  4 Si 2.45-2.56
Pd 0.6202 0.0637 0.2511  4 Si 2.45-2.56
Pd 0.7418 0.8535 0.2500  4 Si 2.44-2.54
Pd 0.8535 0.1117 0.7500  4 Si 2.44-2.54
Pd 0.8883 0.7418 0.7500  4 Si 2.44-2.54
Pd 0.9363 0.5565 0.2511  4 Si 2.45-2.56

Results
**Space-group type**: No. 147
**Volume**: 15.878 Å³ per atom
**Formation energy (no corrections)**: -812 meV/atom
**Fermi-level density of states**: 0.390 states/eV per atom

[3]
The following is a DFT calculation (GGA-PBE) of a relaxed structure of DySi4Pd6.

abc: 6.3548 6.3548 6.3548
angles: 116.06 116.06 96.96
Last column: nearest neighbours and their distance in Å.
Fractional positions:
Dy 0.0000 0.0000 0.0000  4 Si 3.04, 8 Pd 3.36-3.39
Si 0.1458 0.5610 0.0000  4 Pd 2.30-2.43
Si 0.4390 0.4390 0.5848  4 Pd 2.30-2.43
Si 0.5610 0.1458 0.0000  4 Pd 2.30-2.43
Si 0.8542 0.8542 0.4152  4 Pd 2.30-2.43
Pd 0.0000 0.5000 0.5000  4 Si 2.71, 4 Pd 2.81
Pd 0.2175 0.2175 0.7038  4 Si 2.30-2.43
Pd 0.4863 0.7825 0.0000  4 Si 2.30-2.43
Pd 0.5000 0.0000 0.5000  4 Si 2.71, 4 Pd 2.81
Pd 0.5137 0.5137 0.2962  4 Si 2.30-2.43
Pd 0.7825 0.4863 0.0000  4 Si 2.30-2.43

Results
**Space-group type**: No. 121
**Volume**: 17.340 Å³ per atom
**Formation energy (no corrections)**: -583 meV/atom
**Fermi-level density of states**: 0.386 states/eV per atom

[4]
The following is a DFT calculation (GGA-PBE) of a relaxed structure of Dy2SiPd.

abc: 5.8122 4.2567 7.8223
angles: 90.00 110.48 90.00
Last column: nearest neighbours and their distance in Å.
Fractional positions:
Dy 0.2186 0.2500 0.4179  3 Pd 2.95-3.05, 4 Si 3.01-3.08
Dy 0.2206 0.2500 0.9375  4 Pd 2.94-3.18, 3 Si 3.00-3.06
Dy 0.7794 0.7500 0.0625  4 Pd 2.94-3.18, 3 Si 3.00-3.06
Dy 0.7814 0.7500 0.5821  3 Pd 2.95-3.05, 4 Si 3.01-3.08
Si 0.3342 0.7500 0.7079  2 Pd 2.69, 5 Dy 3.00-3.01
Si 0.6658 0.2500 0.2921  2 Pd 2.69, 5 Dy 3.00-3.01
Pd 0.3628 0.7500 0.2148  2 Si 2.69, 4 Dy 2.94-2.95
Pd 0.6372 0.2500 0.7852  2 Si 2.69, 4 Dy 2.94-2.95

Results
**Space-group type**: No. 11
**Volume**: 22.662 Å³ per atom
**Formation energy (no corrections)**: -835 meV/atom
**Fermi-level density of states**: 0.367 states/eV per atom

[5]
The following is a DFT calculation (GGA-PBE) of a relaxed structure of Dy2SiPd6.

abc: 5.7102 5.7102 5.6624
angles: 90.00 90.00 120.00
Last column: nearest neighbours and their distance in Å.
Fractional positions:
Dy 0.3333 0.6667 0.3176  9 Pd 2.93-3.16
Dy 0.6667 0.3333 0.6824  9 Pd 2.93-3.16
Si 0.0000 0.0000 0.5000  6 Pd 2.39
Pd 0.1711 0.3422 0.7992  1 Si 2.39
Pd 0.1711 0.8289 0.7992  1 Si 2.39
Pd 0.3422 0.1711 0.2008  1 Si 2.39
Pd 0.6578 0.8289 0.7992  1 Si 2.39
Pd 0.8289 0.1711 0.2008  1 Si 2.39
Pd 0.8289 0.6578 0.2008  1 Si 2.39

Results
**Space-group type**: No. 164
**Volume**: 17.766 Å³ per atom
**Formation energy (no corrections)**: -877 meV/atom
**Fermi-level density of states**: 0.374 states/eV per atom

[6]
The following is a DFT calculation (GGA-PBE) of a relaxed structure of DySi2Pd3.

abc: 8.4011 8.4011 9.8767
angles: 108.06 108.06 27.42
Last column: nearest neighbours and their distance in Å.
Fractional positions:
Dy 0.0000 0.0000 0.0000  6 Pd 3.05-3.11, 6 Si 3.10-3.15
Dy 0.1535 0.1535 0.6929  6 Si 3.05-3.18, 7 Pd 3.10-3.29
Dy 0.8465 0.8465 0.3071  6 Si 3.05-3.18, 7 Pd 3.10-3.29
Si 0.1994 0.1994 0.1314  6 Pd 2.43-2.56
Si 0.3638 0.3638 0.5506  7 Pd 2.36-2.59
Si 0.4624 0.4624 0.2203  5 Pd 2.42-2.70
Si 0.5376 0.5376 0.7797  5 Pd 2.42-2.70
Si 0.6362 0.6362 0.4494  7 Pd 2.36-2.59
Si 0.8006 0.8006 0.8686  6 Pd 2.43-2.56
Pd 0.0406 0.0406 0.3294  4 Si 2.42-2.57
Pd 0.2208 0.2208 0.3916  4 Si 2.36-2.59
Pd 0.3210 0.3210 0.0394  4 Si 2.43-2.56
Pd 0.3770 0.3770 0.8024  4 Si 2.43-2.70
Pd 0.5000 0.5000 0.5000  4 Si 2.43-2.63
Pd 0.6230 0.6230 0.1976  4 Si 2.43-2.70
Pd 0.6790 0.6790 0.9606  4 Si 2.43-2.56
Pd 0.7792 0.7792 0.6084  4 Si 2.36-2.59
Pd 0.9594 0.9594 0.6706  4 Si 2.42-2.57

Results
**Space-group type**: No. 12
**Volume**: 16.901 Å³ per atom
**Formation energy (no corrections)**: -887 meV/atom
**Fermi-level density of states**: 0.500 states/eV per atom